{
  "formula": "Zr2HOsRh",
  "functional": "PBE-GGA",
  "state": "relaxed",
  "de_polymorph_mev_per_atom": 19,
  "sg": "P4/mmm",
  "lattice_angstrom": [[4.516, 0.000, 0.000], [0.000, 4.516, 0.000], [0.000, 0.000, 3.640]],
  "species": ["Os", "Zr", "Zr", "H", "Rh"],
  "fractional_positions": [[0.000, 0.000, 0.500], [0.000, 0.500, 0.000], [0.500, 0.000, 0.000], [0.000, 0.000, 0.000], [0.500, 0.500, 0.500]]
}

=====

{
  "formula": "Na2ZnInO4",
  "functional": "PBE-GGA",
  "state": "relaxed",
  "e_form_raw_mev_per_atom": -1366,
  "sg": "P2/m",
  "lattice_angstrom": [[-2.931, -1.064, 0.770], [1.148, -4.851, -2.332], [1.543, -0.204, 5.590]],
  "species": ["In", "O", "O", "O", "O", "Zn", "Na", "Na"],
  "fractional_positions": [[0.500, 0.500, 0.000], [0.000, 0.744, 0.214], [0.500, 0.772, 0.792], [0.500, 0.228, 0.208], [0.000, 0.256, 0.786], [0.000, 0.000, 0.000], [0.000, 0.500, 0.500], [0.500, 0.000, 0.500]]
}

=====

{
  "formula": "HgOs2Pt",
  "functional": "PBE-GGA",
  "state": "relaxed",
  "formation_enthalpy_0k_mev_per_atom": 1216,
  "sg": "I-42d",
  "lattice_angstrom": [[-2.981, -0.006, -6.952], [0.210, -7.561, -0.084], [-3.755, -3.860, -2.502]],
  "species": ["Pt", "Pt", "Os", "Os", "Os", "Os", "Hg", "Hg"],
  "fractional_positions": [[0.500, 0.500, 0.000], [0.250, 0.750, 0.500], [0.169, 0.625, 0.250], [0.581, 0.125, 0.250], [0.375, 0.419, 0.750], [0.875, 0.831, 0.750], [0.000, 0.000, 0.000], [0.750, 0.250, 0.500]]
}

=====

Number 1: VASP energy -8.279 eV per atom. Number 2: VASP energy -4.677 eV per atom. Number 3: VASP energy -5.985 eV per atom.